Entry from Alexandria: crystalline La2InIr at its relaxed geometry (PBE).

Lattice parameters (Å, degrees): 4.5523 4.5523 9.7159 90.00 90.00 90.00
Space group I-4m2 (No. 119)
Inequivalent atoms, fractional coordinates:
La1 0.0000 0.0000 0.0000 x2
La2 0.0000 0.5000 0.2500 x2
In1 0.0000 0.5000 0.7500 x2
Ir1 0.0000 0.0000 0.5000 x2

Entry from Alexandria: crystalline LaInIr2 at its relaxed geometry (PBE).

Lattice parameters (Å, degrees): 7.4656 7.4656 6.2589 90.00 90.00 90.00
Space group I-42d (No. 122)
Inequivalent atoms, fractional coordinates:
La1 0.0000 0.0000 0.0000 x4
In1 0.0000 0.0000 0.5000 x4
Ir1 0.2317 0.2500 0.6250 x8

Entry from Alexandria: crystalline LaIn3Ir2 at its relaxed geometry (PBE).

Lattice parameters (Å, degrees): 6.5238 6.5238 21.7945 90.00 90.00 120.00
Space group R-3m (No. 166, hexagonal axes)
Inequivalent atoms, fractional coordinates:
La1 0.0000 0.0000 0.2264 x6
In1 0.0047 0.5023 0.2392 x18
Ir1 0.0000 0.0000 0.0000 x3
Ir2 0.0000 0.5000 0.0000 x9

Computed properties:
Energy above the most stable polymorph in this dataset (eV/atom): 0.236

Entry from Alexandria: crystalline La3InIr at its relaxed geometry (PBE).

Lattice parameters (Å, degrees): 3.8833 8.5939 10.0892 71.12 79.01 77.00
Space group P1 (No. 1)
Inequivalent atoms, fractional coordinates:
La1 0.0000 0.0000 0.0000 x1
La2 0.0003 0.4995 0.4997 x1
La3 0.1479 0.0859 0.6206 x1
La4 0.2387 0.3424 0.1778 x1
La5 0.7626 0.6565 0.8221 x1
La6 0.8528 0.9127 0.3795 x1
In1 0.4365 0.3184 0.8104 x1
In2 0.5641 0.6810 0.1888 x1
Ir1 0.3346 0.7370 0.5952 x1
Ir2 0.6665 0.2613 0.4049 x1

Computed properties:
Energy above the most stable polymorph in this dataset (eV/atom): 0.024

What are the uncorrected energy values for these records? In order: -0.41838; -0.46421; -0.38681; -0.42703 Ry/atom.
What are the volume values for these records? In order: 25.17; 21.80; 22.31; 30.79 Å³ per atom.
What are the ΔH_f (0 K) values for these records? In order: -329; 31; -119; -534 meV/atom.